Material: VF5
Method: DFT, GGA+U
State: optimized geometry

Properties
- V (A^3/atom) = 14.57
- final energy (eV per atom) = -5.176
- SG = P2_1/c (14)

Cell and atoms, written as extended XYZ:
```
24
Lattice="-0.474 0.786 10.559 -0.652 -5.396 0.373 5.837 -2.101 0.419" Properties=species:S:1:pos:R:3 pbc="T T T"
V 1.243 -2.820 0.747
V 0.743 -3.162 6.070
V 3.967 -3.548 5.281
V 3.467 -3.890 10.603
F 1.237 -0.998 9.961
F 1.569 -1.673 2.031
F 1.212 -1.699 6.926
F 0.048 -1.865 4.642
F 4.320 -2.322 6.495
F 4.414 -2.602 3.875
F 4.020 -2.567 9.585
F 2.277 -2.656 4.805
F 3.131 -3.188 1.196
F -0.650 -2.731 9.999
F 5.360 -3.979 1.352
F 1.580 -3.522 10.154
F 2.433 -4.054 6.546
F 0.691 -4.143 1.765
F 0.297 -4.109 7.475
F 0.390 -4.388 4.856
F 4.663 -4.845 6.708
F 3.499 -5.011 4.424
F 3.142 -5.037 9.319
F 3.474 -5.712 1.389
```